Density functional theory data (PBE-GGA) for an optimized crystal structure of Mn2Tl3.

a b c (Å): 12.9151 21.7143 3.2226
angles (deg): 90.00 90.00 90.00
Space group Fdd2 (No. 43)
One atom of each set of equivalent atoms:
1 Mn 0.0665 0.2166 0.0000 [16 per cell]
2 Tl 0.0000 0.0000 0.2341 [8 per cell]
3 Tl 0.0810 0.3558 0.9884 [16 per cell]

* energy relative to the elements: 0.412 eV per atom
* Fermi-level density of states: 0.8505 states/eV/atom